1.
DFT (PBE-GGA) results for a geometry-optimized BeIrO structure.

Structure (POSCAR):
```
BeIrO
1.0
2.666 -0.006 0.256
1.326 2.313 0.256
1.569 0.907 11.733
Ir Be O
2 2 2
Direct
0.478 0.478 0.251 Ir
0.273 0.273 0.058 Ir
0.632 0.632 0.518 Be
0.122 0.122 0.788 Be
0.297 0.297 0.521 O
0.457 0.457 0.785 O
```

Calculated values
DOS at the Fermi energy ... 3.11 states/eV per cell
ΔE_f (raw) ... -143 kJ/mol of atoms


2.
DFT (PBE-GGA) results for a geometry-optimized NpPa2Ge3Ir4 structure.

Structure (POSCAR):
```
NpPa2Ge3Ir4
1.0
-0.073 -3.778 1.687
3.997 -0.500 -0.945
2.880 4.354 9.876
Np Pa Ge Ir
1 2 3 4
Direct
0.500 0.500 0.500 Np
0.500 0.000 0.231 Pa
0.000 0.500 0.769 Pa
0.000 0.000 0.500 Ge
0.500 0.000 0.875 Ge
0.000 0.500 0.125 Ge
0.500 0.500 0.000 Ir
0.000 0.000 0.000 Ir
0.500 0.000 0.658 Ir
0.000 0.500 0.342 Ir
```

Calculated values
DOS at the Fermi energy ... 8.92 states/eV per cell
Formation enthalpy at 0 K ... -0.57 eV per atom


3.
DFT (PBE-GGA) results for a geometry-optimized MnIn2 structure.

Structure (POSCAR):
```
MnIn2
1.0
3.087 0.000 0.000
0.000 7.010 0.000
0.000 0.000 7.031
Mn In
2 4
Direct
0.000 0.000 0.000 Mn
0.500 0.500 0.500 Mn
0.000 0.265 0.728 In
0.000 0.735 0.272 In
0.500 0.765 0.772 In
0.500 0.235 0.228 In
```

Calculated values
DOS at the Fermi energy ... 3.41 states/eV per cell
Formation enthalpy at 0 K ... 0.36 eV per atom


4.
DFT (PBE-GGA) results for a geometry-optimized PmPaHgRu structure.

Structure (POSCAR):
```
PmPaHgRu
1.0
5.099 0.000 0.000
2.550 4.416 0.000
2.550 1.472 4.163
Ru Pa Hg Pm
1 1 1 1
Direct
0.750 0.750 0.750 Ru
0.500 0.500 0.500 Pa
0.250 0.250 0.250 Hg
0.000 0.000 0.000 Pm
```

Calculated values
DOS at the Fermi energy ... 5.07 states/eV per cell
Formation enthalpy at 0 K ... -0.05 eV per atom


5.
DFT (PBE-GGA) results for a geometry-optimized SrIrRh structure.

Structure (POSCAR):
```
SrIrRh
1.0
-0.119 -4.170 0.902
3.711 -1.039 -4.319
3.796 2.973 4.147
Ir Rh Sr
2 2 2
Direct
0.799 0.102 0.599 Ir
0.201 0.898 0.401 Ir
0.414 0.084 0.829 Rh
0.586 0.916 0.171 Rh
0.113 0.346 0.227 Sr
0.887 0.654 0.773 Sr
```

Calculated values
DOS at the Fermi energy ... 4.50 states/eV per cell
Formation enthalpy at 0 K ... -0.07 eV per atom
Energy above the lowest structure with this stoichiometry ... 0.62 eV per formula unit


6.
DFT (PBE-GGA) results for a geometry-optimized Pr6DyHg2 structure.

Structure (POSCAR):
```
Pr6DyHg2
1.0
-1.332 -0.422 -3.553
-5.612 -3.832 0.508
-9.071 8.016 0.397
Pr Dy Hg
6 1 2
Direct
0.685 0.505 0.124 Pr
0.315 0.495 0.876 Pr
0.309 0.789 0.592 Pr
0.976 0.712 0.335 Pr
0.024 0.288 0.665 Pr
0.691 0.211 0.408 Pr
0.000 0.000 0.000 Dy
0.364 0.082 0.190 Hg
0.636 0.918 0.810 Hg
```

Calculated values
DOS at the Fermi energy ... 9.52 states/eV per cell
Formation enthalpy at 0 K ... -0.21 eV per atom


7.
DFT (PBE-GGA) results for a geometry-optimized Sm8Zn2Pt structure.

Structure (POSCAR):
```
Sm8Zn2Pt
1.0
5.171 0.000 0.000
0.000 6.784 0.464
-2.586 -2.347 8.728
Sm Zn Pt
8 2 1
Direct
0.410 0.557 0.820 Sm
0.658 0.963 0.316 Sm
0.797 0.678 0.594 Sm
0.973 0.225 0.946 Sm
0.203 0.322 0.406 Sm
0.342 0.037 0.684 Sm
0.590 0.443 0.180 Sm
0.027 0.775 0.054 Sm
0.807 0.253 0.613 Zn
0.193 0.747 0.387 Zn
0.500 0.000 0.000 Pt
```

Calculated values
DOS at the Fermi energy ... 9.90 states/eV per cell
Formation enthalpy at 0 K ... -0.30 eV per atom


8.
DFT (PBE-GGA) results for a geometry-optimized CdSn structure.

Structure (POSCAR):
```
CdSn
1.0
-0.576 1.892 2.689
-2.048 -2.343 1.210
3.529 -1.976 2.146
Cd Sn
1 1
Direct
0.000 0.000 0.500 Cd
0.500 0.500 0.000 Sn
```

Calculated values
DOS at the Fermi energy ... 0.98 states/eV per cell
Formation enthalpy at 0 K ... 0.06 eV per atom


9.
DFT (PBE-GGA) results for a geometry-optimized Rb3DyY2O6 structure.

Structure (POSCAR):
```
Rb3DyY2O6
1.0
-3.528 3.579 3.442
-2.318 -5.029 -2.537
3.630 -2.975 5.018
Rb Dy Y O
3 1 2 6
Direct
0.167 0.833 0.500 Rb
0.833 0.167 0.500 Rb
0.500 0.500 0.500 Rb
0.000 0.000 0.000 Dy
0.333 0.667 0.000 Y
0.667 0.333 0.000 Y
0.941 0.609 0.824 O
0.726 0.726 0.176 O
0.059 0.391 0.176 O
0.609 0.941 0.824 O
0.274 0.274 0.824 O
0.391 0.059 0.176 O
```

Calculated values
DOS at the Fermi energy ... 0.00 states/eV per cell
ΔE_f (raw) ... -259 kJ/mol of atoms


10.
DFT (PBE-GGA) results for a geometry-optimized SrZnBr2 structure.

Structure (POSCAR):
```
SrZnBr2
1.0
8.498 0.011 0.022
-3.172 4.105 -0.016
2.154 1.679 3.310
Br Sr Zn
2 1 1
Direct
0.000 0.000 0.000 Br
0.500 0.000 0.500 Br
0.000 0.500 0.500 Sr
0.500 0.500 0.000 Zn
```

Calculated values
ΔE_f (raw) ... -109 kJ/mol of atoms
Energy above the lowest structure with this stoichiometry ... 0.75 eV per formula unit


11.
DFT (PBE-GGA) results for a geometry-optimized Pm3Er5Sc2 structure.

Structure (POSCAR):
```
Pm3Er5Sc2
1.0
-5.358 2.599 7.071
4.545 -7.974 1.179
6.449 6.590 -0.981
Pm Er Sc
6 10 4
Direct
0.227 0.075 0.049 Pm
0.773 0.925 0.951 Pm
0.580 0.530 0.351 Pm
0.420 0.470 0.649 Pm
0.177 0.728 0.150 Pm
0.823 0.272 0.850 Pm
0.273 0.425 0.947 Er
0.727 0.575 0.053 Er
0.027 0.677 0.452 Er
0.524 0.175 0.448 Er
0.973 0.323 0.548 Er
0.476 0.825 0.552 Er
0.880 0.627 0.749 Er
0.120 0.373 0.251 Er
0.370 0.119 0.749 Er
0.630 0.881 0.251 Er
0.928 0.976 0.645 Sc
0.072 0.024 0.355 Sc
0.327 0.777 0.850 Sc
0.673 0.223 0.150 Sc
```

Calculated values
DOS at the Fermi energy ... 29.02 states/eV per cell
Formation enthalpy at 0 K ... 0.04 eV per atom


12.
DFT (PBE-GGA) results for a geometry-optimized LiIn5Sn2 structure.

Structure (POSCAR):
```
LiIn5Sn2
1.0
-1.522 2.482 4.298
-2.544 -7.826 0.483
9.138 -2.676 4.782
Li In Sn
2 10 4
Direct
0.760 0.520 0.750 Li
0.240 0.480 0.250 Li
0.928 0.855 0.908 In
0.928 0.855 0.592 In
0.411 0.822 0.400 In
0.411 0.822 0.100 In
0.597 0.195 0.250 In
0.403 0.805 0.750 In
0.589 0.178 0.600 In
0.589 0.178 0.900 In
0.072 0.145 0.092 In
0.072 0.145 0.408 In
0.769 0.538 0.417 Sn
0.769 0.538 0.083 Sn
0.231 0.462 0.583 Sn
0.231 0.462 0.917 Sn
```

Calculated values
DOS at the Fermi energy ... 5.37 states/eV per cell
Formation enthalpy at 0 K ... 0.00 eV per atom
Energy above the lowest structure with this stoichiometry ... 0.38 eV per formula unit


| no. | total magnetic moment (μB/f.u.) |
| --- | --- |
| 1 | 0.00 |
| 2 | 3.90 |
| 3 | 3.32 |
| 4 | 0.59 |
| 5 | 0.00 |
| 6 | 0.00 |
| 7 | 0.00 |
| 8 | 0.00 |
| 9 | 0.00 |
| 10 | 0.00 |
| 11 | 0.00 |
| 12 | 0.00 |